Entry from Alexandria via LeMat-Bulk: PrClO after structural relaxation (PBE).

Lattice parameters (Å, degrees): 4.3413 4.3413 12.9440 90.00 90.00 90.00
Last column: nearest neighbours and their distance in Å.
Space group I4/mmm (No. 139)
Unique sites:
1 Pr 0.0000 0.0000 0.1640 (multiplicity 4)  4 O 2.44
2 Cl 0.0000 0.5000 0.0000 (multiplicity 4)  4 Pr 3.04, 4 Cl 3.07, 2 O 3.24
3 O 0.0000 0.5000 0.2500 (multiplicity 4)  4 Pr 2.44

Calculated values
Formation energy from raw total energies = -65.62 kcal/mol of atoms
Crystal system = tetragonal
Total moment = 0.00 μB per formula unit